Record 1
The following is a DFT calculation (PBE-GGA) of an optimized crystal structure of BaSr3Hg3.

Computed properties:
- DOS(E_F) (states/eV per cell) = 19.5
- DFT formation energy (eV per formula unit) = -0.852
- total moment (μB/cell) = 0.00

a b c (Å): 8.9077 8.9077 8.9077
angles (deg): 90.00 90.00 90.00
Closest atoms and distances in Å follow each position.
Element x y z (fractional)
Ba (0.0000, 0.0000, 0.0000)  12 Hg 4.98, 12 Sr 4.98
Ba (0.5000, 0.5000, 0.5000)  12 Hg 4.98, 12 Sr 4.98
Sr (0.0000, 0.2500, 0.5000)  4 Hg 3.15
Sr (0.0000, 0.7500, 0.5000)  4 Hg 3.15
Sr (0.2500, 0.5000, 0.0000)  4 Hg 3.15
Sr (0.5000, 0.0000, 0.2500)  4 Hg 3.15
Sr (0.5000, 0.0000, 0.7500)  4 Hg 3.15
Sr (0.7500, 0.5000, 0.0000)  4 Hg 3.15
Hg (0.0000, 0.5000, 0.2500)  4 Sr 3.15
Hg (0.0000, 0.5000, 0.7500)  4 Sr 3.15
Hg (0.2500, 0.0000, 0.5000)  4 Sr 3.15
Hg (0.5000, 0.2500, 0.0000)  4 Sr 3.15
Hg (0.5000, 0.7500, 0.0000)  4 Sr 3.15
Hg (0.7500, 0.0000, 0.5000)  4 Sr 3.15

Record 2
The following is a DFT calculation (PBE-GGA) of an optimized crystal structure of TaFeSi.

Computed properties:
- DOS(E_F) (states/eV per cell) = 2.0
- total moment (μB/cell) = 0.00
- formation energy without anion corrections (eV per atom) = -0.42

a b c (Å): 4.0400 4.0400 2.8807
angles (deg): 90.00 90.00 120.00
Closest atoms and distances in Å follow each position.
Element x y z (fractional)
Ta (0.0000, 0.0000, 0.0000)  6 Fe 2.74, 6 Si 2.74, 2 Ta 2.88
Fe (0.6667, 0.3333, 0.5000)  3 Si 2.33
Si (0.3333, 0.6667, 0.5000)  3 Fe 2.33

Record 3
The following is a DFT calculation (PBE-GGA) of an optimized crystal structure of La2CrCl.

Computed properties:
- DOS(E_F) (states/eV per cell) = 6.4
- total moment (μB/cell) = 5.34
- formation energy without anion corrections (eV per atom) = -0.44

a b c (Å): 4.9874 4.9986 8.4365
angles (deg): 90.00 90.00 90.00
Closest atoms and distances in Å follow each position.
Element x y z (fractional)
La (0.0000, 0.0000, 0.2283)  4 Cr 3.15-3.16, 4 Cl 3.39
La (0.0000, 0.0000, 0.7717)  4 Cr 3.15-3.16, 4 Cl 3.39
La (0.5000, 0.5000, 0.2283)  4 Cr 3.15-3.16, 4 Cl 3.39
La (0.5000, 0.5000, 0.7717)  4 Cr 3.15-3.16, 4 Cl 3.39
Cr (0.0000, 0.5000, 0.0000)  8 La 3.15-3.16
Cr (0.5000, 0.0000, 0.0000)  8 La 3.15-3.16
Cl (0.0000, 0.5000, 0.5000)  8 La 3.39, 4 Cl 3.53
Cl (0.5000, 0.0000, 0.5000)  8 La 3.39, 4 Cl 3.53

Record 4
The following is a DFT calculation (PBE-GGA) of an optimized crystal structure of BaNaMnSb2.

Computed properties:
- DOS(E_F) (states/eV per cell) = 4.1
- total moment (μB/cell) = 3.36
- formation energy without anion corrections (eV per atom) = -0.03

a b c (Å): 5.3207 5.3207 5.6226
angles (deg): 90.00 90.00 90.00
Closest atoms and distances in Å follow each position.
Element x y z (fractional)
Ba (0.0000, 0.0000, 0.0000)  2 Mn 2.81
Na (0.5000, 0.5000, 0.0000)  4 Ba 3.76, 8 Sb 3.87
Mn (0.0000, 0.0000, 0.5000)  4 Sb 2.66, 2 Ba 2.81
Sb (0.0000, 0.5000, 0.5000)  2 Mn 2.66
Sb (0.5000, 0.0000, 0.5000)  2 Mn 2.66

Record 5
The following is a DFT calculation (PBE-GGA) of an optimized crystal structure of AlSbBr2.

Computed properties:
- DOS(E_F) (states/eV per cell) = 3.9
- total moment (μB/cell) = 0.00
- formation energy without anion corrections (eV per atom) = -0.11

a b c (Å): 3.3068 5.5636 14.3668
angles (deg): 90.00 90.00 90.00
Closest atoms and distances in Å follow each position.
Element x y z (fractional)
Al (0.0000, 0.0000, 0.0000)  4 Br 2.59
Al (0.5000, 0.5000, 0.5000)  4 Br 2.59
Sb (0.0000, 0.0000, 0.5000)  4 Al 3.24, 2 Sb 3.31, 4 Br 3.42
Sb (0.5000, 0.5000, 0.0000)  4 Al 3.24, 2 Sb 3.31, 4 Br 3.42
Br (0.0000, 0.5000, 0.3612)  2 Al 2.59
Br (0.0000, 0.5000, 0.6388)  2 Al 2.59
Br (0.5000, 0.0000, 0.1388)  2 Al 2.59
Br (0.5000, 0.0000, 0.8612)  2 Al 2.59

Record 6
The following is a DFT calculation (PBE-GGA) of an optimized crystal structure of InNiMo2.

Computed properties:
- DOS(E_F) (states/eV per cell) = 4.0
- DFT formation energy (eV per formula unit) = 0.931
- total moment (μB/cell) = 0.00

a b c (Å): 2.7779 4.3071 5.4198
angles (deg): 90.00 97.60 90.00
Closest atoms and distances in Å follow each position.
Element x y z (fractional)
In (0.0000, 0.0000, 0.0000)  2 Ni 2.58, 2 In 2.78, 1 Mo 2.84
Ni (0.9549, 0.5000, 0.7349)  2 In 2.58, 5 Mo 2.59-2.85, 2 Ni 2.78
Mo (0.3774, 0.0000, 0.5135)  4 Mo 2.63-2.78, 4 Ni 2.80-2.85, 1 In 2.84
Mo (0.5874, 0.5000, 0.2708)  1 Ni 2.59, 4 Mo 2.63-2.78

Record 7
The following is a DFT calculation (PBE-GGA) of an optimized crystal structure of Tb6Zn2In.

Computed properties:
- DOS(E_F) (states/eV per cell) = 18.3
- DFT formation energy (eV per formula unit) = -2.221
- total moment (μB/cell) = 0.00

a b c (Å): 8.6458 8.6458 8.6458
angles (deg): 111.03 110.08 107.33
Closest atoms and distances in Å follow each position.
Element x y z (fractional)
Tb (0.0315, 0.8163, 0.2152)  3 Zn 2.90-3.14
Tb (0.2409, 0.5338, 0.2928)  2 Zn 2.91-3.18, 1 In 3.19
Tb (0.2409, 0.9481, 0.7072)  2 Zn 2.91-3.18, 1 In 3.19
Tb (0.2733, 0.3160, 0.5893)  3 Zn 3.15-3.24, 1 In 3.25
Tb (0.2733, 0.6840, 0.9572)  3 Zn 3.15-3.24, 1 In 3.25
Tb (0.3989, 0.1837, 0.2152)  3 Zn 2.90-3.14
Tb (0.6011, 0.8163, 0.7848)  3 Zn 2.90-3.14
Tb (0.7267, 0.3160, 0.0428)  3 Zn 3.15-3.24, 1 In 3.25
Tb (0.7267, 0.6840, 0.4107)  3 Zn 3.15-3.24, 1 In 3.25
Tb (0.7591, 0.0519, 0.2928)  2 Zn 2.91-3.18, 1 In 3.19
Tb (0.7591, 0.4662, 0.7072)  2 Zn 2.91-3.18, 1 In 3.19
Tb (0.9685, 0.1837, 0.7848)  3 Zn 2.90-3.14
Zn (0.0000, 0.1349, 0.1349)  1 Zn 2.64, 2 Tb 2.91
Zn (0.0000, 0.8651, 0.8651)  1 Zn 2.64, 2 Tb 2.91
Zn (0.3756, 0.3756, 0.0000)  1 Zn 2.55
Zn (0.6244, 0.6244, 0.0000)  1 Zn 2.55
In (0.0000, 0.5000, 0.5000)  8 Tb 3.19-3.25, 2 Zn 3.57
In (0.5000, 0.0000, 0.5000)  8 Tb 3.34-3.39

Record 8
The following is a DFT calculation (PBE-GGA) of an optimized crystal structure of TmMn2Ge2.

Computed properties:
- DOS(E_F) (states/eV per cell) = 5.6
- DFT formation energy (eV per formula unit) = -2.314
- total moment (μB/cell) = 8.06

a b c (Å): 3.9085 3.9085 10.7800
angles (deg): 90.00 90.00 90.00
Closest atoms and distances in Å follow each position.
Element x y z (fractional)
Tm (0.0000, 0.0000, 0.0000)  8 Ge 3.04, 8 Mn 3.33
Tm (0.5000, 0.5000, 0.5000)  8 Ge 3.04, 8 Mn 3.33
Mn (0.0000, 0.5000, 0.2500)  4 Ge 2.42
Mn (0.0000, 0.5000, 0.7500)  4 Ge 2.42
Mn (0.5000, 0.0000, 0.2500)  4 Ge 2.42
Mn (0.5000, 0.0000, 0.7500)  4 Ge 2.42
Ge (0.0000, 0.0000, 0.3822)  4 Mn 2.42, 1 Ge 2.54
Ge (0.0000, 0.0000, 0.6178)  4 Mn 2.42, 1 Ge 2.54
Ge (0.5000, 0.5000, 0.1178)  4 Mn 2.42, 1 Ge 2.54
Ge (0.5000, 0.5000, 0.8822)  4 Mn 2.42, 1 Ge 2.54

Question: Among the records above, which one has the highest DOS(E_F)?
Answer: BaSr3Hg3